(1)
# Pm2RhAu3 (PBE-GGA, relaxed)
# **Polymorph energy (0 for the lowest one)**: 0.0 kJ per mole of atoms
# **Crystal system**: orthorhombic
# **DFT formation energy**: -0.6601 eV per atom
# **Mass density**: 11922 kg/m³
# **Density of states at the Fermi level**: 5.2 states/eV/cell
data_Pm2RhAu3
_cell_length_a 3.592
_cell_length_b 4.830
_cell_length_c 7.899
_cell_angle_alpha 90.00
_cell_angle_beta 90.00
_cell_angle_gamma 90.00
_symmetry_space_group_name_H-M 'P m m 2'
_symmetry_Int_Tables_number 25
_symmetry_space_group_name_Hall 'P 2 -2'
loop_
_atom_site_label
_atom_site_type_symbol
_atom_site_fract_x
_atom_site_fract_y
_atom_site_fract_z
Pm1 Pm 0.000 0.000 0.000
Pm2 Pm 0.000 0.500 0.465
Rh1 Rh 0.500 0.000 0.293
Au1 Au 0.500 0.000 0.636
Au2 Au 0.500 0.500 0.149
Au3 Au 0.500 0.500 0.803


(2)
# Pm2RhAu6 (PBE-GGA, relaxed)
# **Crystal system**: monoclinic
# **DFT formation energy**: -0.5195 eV per atom
# **Mass density**: 14324 kg/m³
# **Density of states at the Fermi level**: 5.5 states/eV/cell
data_Pm2RhAu6
_cell_length_a 13.640
_cell_length_b 4.023
_cell_length_c 7.207
_cell_angle_alpha 90.00
_cell_angle_beta 112.60
_cell_angle_gamma 90.00
_symmetry_space_group_name_H-M 'C 1 2/m 1'
_symmetry_Int_Tables_number 12
_symmetry_space_group_name_Hall '-C 2y'
loop_
_atom_site_label
_atom_site_type_symbol
_atom_site_fract_x
_atom_site_fract_y
_atom_site_fract_z
Pm1 Pm 0.059 0.000 0.307
Rh1 Rh 0.000 0.500 0.000
Au1 Au 0.107 0.500 0.674
Au2 Au 0.168 0.000 0.005
Au3 Au 0.231 0.500 0.324


(3)
# Pm4Rh2Au (PBE-GGA, relaxed)
# **Crystal system**: tetragonal
# **DFT formation energy**: -0.6616 eV per atom
# **Mass density**: 9107 kg/m³
# **Density of states at the Fermi level**: 19.3 states/eV/cell
data_Pm4Rh2Au
_cell_length_a 9.016
_cell_length_b 9.016
_cell_length_c 8.818
_cell_angle_alpha 90.00
_cell_angle_beta 90.00
_cell_angle_gamma 90.00
_symmetry_space_group_name_H-M 'I -4 2 d'
_symmetry_Int_Tables_number 122
_symmetry_space_group_name_Hall 'I -4 2bw'
loop_
_atom_site_label
_atom_site_type_symbol
_atom_site_fract_x
_atom_site_fract_y
_atom_site_fract_z
Pm1 Pm 0.063 0.684 0.426
Rh1 Rh 0.129 0.750 0.125
Au1 Au 0.000 0.000 0.500


(4)
# Pm4RhAu2 (PBE-GGA, relaxed)
# **Polymorph energy (0 for the lowest one)**: 0.0 kJ per mole of atoms
# **Crystal system**: monoclinic
# **DFT formation energy**: -0.6396 eV per atom
# **Mass density**: 9253 kg/m³
# **Density of states at the Fermi level**: 9.9 states/eV/cell
data_Pm4RhAu2
_cell_length_a 14.062
_cell_length_b 4.760
_cell_length_c 6.050
_cell_angle_alpha 90.00
_cell_angle_beta 107.36
_cell_angle_gamma 90.00
_symmetry_space_group_name_H-M 'C 1 2/m 1'
_symmetry_Int_Tables_number 12
_symmetry_space_group_name_Hall '-C 2y'
loop_
_atom_site_label
_atom_site_type_symbol
_atom_site_fract_x
_atom_site_fract_y
_atom_site_fract_z
Pm1 Pm 0.083 0.000 0.279
Pm2 Pm 0.151 0.500 0.790
Rh1 Rh 0.000 0.500 0.000
Au1 Au 0.227 0.500 0.317


(5)
# Pm3RhAu2 (PBE-GGA, relaxed)
# **Polymorph energy (0 for the lowest one)**: 2.6 kJ per mole of atoms
# **Crystal system**: orthorhombic
# **DFT formation energy**: -0.7252 eV per atom
# **Mass density**: 10100 kg/m³
# **Density of states at the Fermi level**: 18.1 states/eV/cell
data_Pm3RhAu2
_cell_length_a 12.314
_cell_length_b 4.558
_cell_length_c 10.918
_cell_angle_alpha 90.00
_cell_angle_beta 90.00
_cell_angle_gamma 90.00
_symmetry_space_group_name_H-M 'P n m a'
_symmetry_Int_Tables_number 62
_symmetry_space_group_name_Hall '-P 2ac 2n'
loop_
_atom_site_label
_atom_site_type_symbol
_atom_site_fract_x
_atom_site_fract_y
_atom_site_fract_z
Pm1 Pm 0.051 0.250 0.122
Pm2 Pm 0.111 0.750 0.558
Pm3 Pm 0.243 0.250 0.790
Rh1 Rh 0.123 0.250 0.370
Au1 Au 0.006 0.250 0.703
Au2 Au 0.188 0.750 0.007


(6)
# PmRh4Au (PBE-GGA, relaxed)
# **Crystal system**: cubic
# **DFT formation energy**: -0.2864 eV per atom
# **Mass density**: 11934 kg/m³
# **Density of states at the Fermi level**: 42.7 states/eV/cell
data_PmRh4Au
_cell_length_a 7.485
_cell_length_b 7.485
_cell_length_c 7.485
_cell_angle_alpha 90.00
_cell_angle_beta 90.00
_cell_angle_gamma 90.00
_symmetry_space_group_name_H-M 'F -4 3 m'
_symmetry_Int_Tables_number 216
_symmetry_space_group_name_Hall 'F -4 2 3'
loop_
_atom_site_label
_atom_site_type_symbol
_atom_site_fract_x
_atom_site_fract_y
_atom_site_fract_z
Pm1 Pm 0.000 0.000 0.000
Rh1 Rh 0.124 0.124 0.376
Au1 Au 0.250 0.250 0.750


(7)
# Pm3Rh2Au (PBE-GGA, relaxed)
# **Polymorph energy (0 for the lowest one)**: 17.1 kJ per mole of atoms
# **Crystal system**: orthorhombic
# **DFT formation energy**: -0.5422 eV per atom
# **Mass density**: 10130 kg/m³
# **Density of states at the Fermi level**: 6.0 states/eV/cell
data_Pm3Rh2Au
_cell_length_a 3.871
_cell_length_b 15.701
_cell_length_c 4.519
_cell_angle_alpha 90.00
_cell_angle_beta 90.00
_cell_angle_gamma 90.00
_symmetry_space_group_name_H-M 'C m m m'
_symmetry_Int_Tables_number 65
_symmetry_space_group_name_Hall '-C 2 2'
loop_
_atom_site_label
_atom_site_type_symbol
_atom_site_fract_x
_atom_site_fract_y
_atom_site_fract_z
Pm1 Pm 0.000 0.000 0.000
Pm2 Pm 0.000 0.164 0.500
Rh1 Rh 0.000 0.328 0.000
Au1 Au 0.000 0.500 0.500


(8)
# Pm3Rh2Au (PBE-GGA, relaxed)
# **Polymorph energy (0 for the lowest one)**: 0.0 kJ per mole of atoms
# **Crystal system**: tetragonal
# **DFT formation energy**: -0.7199 eV per atom
# **Mass density**: 10102 kg/m³
# **Density of states at the Fermi level**: 6.7 states/eV/cell
data_Pm3Rh2Au
_cell_length_a 3.556
_cell_length_b 3.556
_cell_length_c 10.887
_cell_angle_alpha 90.00
_cell_angle_beta 90.00
_cell_angle_gamma 90.00
_symmetry_space_group_name_H-M 'P 4/m m m'
_symmetry_Int_Tables_number 123
_symmetry_space_group_name_Hall '-P 4 2'
loop_
_atom_site_label
_atom_site_type_symbol
_atom_site_fract_x
_atom_site_fract_y
_atom_site_fract_z
Pm1 Pm 0.000 0.000 0.000
Pm2 Pm 0.000 0.000 0.318
Rh1 Rh 0.500 0.500 0.163
Au1 Au 0.500 0.500 0.500


(9)
# Pm8Rh5Au (PBE-GGA, relaxed)
# **Crystal system**: tetragonal
# **DFT formation energy**: -0.6709 eV per atom
# **Mass density**: 8876 kg/m³
# **Density of states at the Fermi level**: 6.8 states/eV/cell
data_Pm8Rh5Au
_cell_length_a 8.914
_cell_length_b 8.914
_cell_length_c 8.814
_cell_angle_alpha 90.00
_cell_angle_beta 90.00
_cell_angle_gamma 90.00
_symmetry_space_group_name_H-M 'I -4'
_symmetry_Int_Tables_number 82
_symmetry_space_group_name_Hall 'I -4'
loop_
_atom_site_label
_atom_site_type_symbol
_atom_site_fract_x
_atom_site_fract_y
_atom_site_fract_z
Pm1 Pm 0.057 0.194 0.320
Pm2 Pm 0.064 0.319 0.930
Rh1 Rh 0.000 0.500 0.250
Rh2 Rh 0.130 0.253 0.625
Au1 Au 0.000 0.000 0.000


(10)
# PmRh2Au (PBE-GGA, relaxed)
# **Polymorph energy (0 for the lowest one)**: 10.3 kJ per mole of atoms
# **Crystal system**: cubic
# **DFT formation energy**: -0.3754 eV per atom
# **Mass density**: 12344 kg/m³
# **Density of states at the Fermi level**: 7.7 states/eV/cell
data_PmRh2Au
_cell_length_a 6.655
_cell_length_b 6.655
_cell_length_c 6.655
_cell_angle_alpha 90.00
_cell_angle_beta 90.00
_cell_angle_gamma 90.00
_symmetry_space_group_name_H-M 'F m -3 m'
_symmetry_Int_Tables_number 225
_symmetry_space_group_name_Hall '-F 4 2 3'
loop_
_atom_site_label
_atom_site_type_symbol
_atom_site_fract_x
_atom_site_fract_y
_atom_site_fract_z
Pm1 Pm 0.000 0.000 0.000
Rh1 Rh 0.250 0.250 0.250
Au1 Au 0.000 0.000 0.500


(11)
# Pm3RhAu (PBE-GGA, relaxed)
# **Polymorph energy (0 for the lowest one)**: 0.0 kJ per mole of atoms
# **Crystal system**: orthorhombic
# **DFT formation energy**: -0.6444 eV per atom
# **Mass density**: 9043 kg/m³
# **Density of states at the Fermi level**: 16.1 states/eV/cell
data_Pm3RhAu
_cell_length_a 7.594
_cell_length_b 4.626
_cell_length_c 15.366
_cell_angle_alpha 90.00
_cell_angle_beta 90.00
_cell_angle_gamma 90.00
_symmetry_space_group_name_H-M 'P n m a'
_symmetry_Int_Tables_number 62
_symmetry_space_group_name_Hall '-P 2ac 2n'
loop_
_atom_site_label
_atom_site_type_symbol
_atom_site_fract_x
_atom_site_fract_y
_atom_site_fract_z
Pm1 Pm 0.013 0.250 0.102
Pm2 Pm 0.136 0.750 0.448
Pm3 Pm 0.177 0.250 0.720
Rh1 Rh 0.230 0.750 0.045
Au1 Au 0.115 0.250 0.307


(12)
# Pm3Rh2Au3 (PBE-GGA, relaxed)
# **Crystal system**: hexagonal
# **DFT formation energy**: -0.7831 eV per atom
# **Mass density**: 11480 kg/m³
# **Density of states at the Fermi level**: 4.0 states/eV/cell
data_Pm3Rh2Au3
_cell_length_a 7.3469
_cell_length_b 7.3469
_cell_length_c 3.8114
_cell_angle_alpha 90.00
_cell_angle_beta 90.00
_cell_angle_gamma 120.00
_symmetry_space_group_name_H-M 'P -6 2 m'
_symmetry_Int_Tables_number 189
_symmetry_space_group_name_Hall 'P -6 -2'
loop_
_atom_site_label
_atom_site_type_symbol
_atom_site_fract_x
_atom_site_fract_y
_atom_site_fract_z
Pm1 Pm 0.0000 0.5964 0.0000
Rh1 Rh 0.3333 0.6667 0.5000
Au1 Au 0.0000 0.2309 0.5000


(13)
# Pm6RhAu2 (PBE-GGA, relaxed)
# **Crystal system**: monoclinic
# **DFT formation energy**: -0.5053 eV per atom
# **Mass density**: 8411 kg/m³
# **Density of states at the Fermi level**: 19.1 states/eV/cell
data_Pm6RhAu2
_cell_length_a 6.909
_cell_length_b 7.468
_cell_length_c 12.226
_cell_angle_alpha 90.00
_cell_angle_beta 121.19
_cell_angle_gamma 90.00
_symmetry_space_group_name_H-M 'P 1 21/c 1'
_symmetry_Int_Tables_number 14
_symmetry_space_group_name_Hall '-P 2ybc'
loop_
_atom_site_label
_atom_site_type_symbol
_atom_site_fract_x
_atom_site_fract_y
_atom_site_fract_z
Pm1 Pm 0.112 0.030 0.255
Pm2 Pm 0.246 0.680 0.068
Pm3 Pm 0.387 0.192 0.063
Rh1 Rh 0.000 0.000 0.000
Au1 Au 0.320 0.107 0.766


(14)
# PmRh2Au (PBE-GGA, relaxed)
# **Polymorph energy (0 for the lowest one)**: 0.0 kJ per mole of atoms
# **Crystal system**: tetragonal
# **DFT formation energy**: -0.4819 eV per atom
# **Mass density**: 12468 kg/m³
# **Density of states at the Fermi level**: 5.9 states/eV/cell
data_PmRh2Au
_cell_length_a 4.266
_cell_length_b 4.266
_cell_length_c 4.008
_cell_angle_alpha 90.00
_cell_angle_beta 90.00
_cell_angle_gamma 90.00
_symmetry_space_group_name_H-M 'P 4/m m m'
_symmetry_Int_Tables_number 123
_symmetry_space_group_name_Hall '-P 4 2'
loop_
_atom_site_label
_atom_site_type_symbol
_atom_site_fract_x
_atom_site_fract_y
_atom_site_fract_z
Pm1 Pm 0.000 0.000 0.000
Rh1 Rh 0.000 0.500 0.500
Au1 Au 0.500 0.500 0.000


(15)
# Pm2RhAu2 (PBE-GGA, relaxed)
# **Crystal system**: orthorhombic
# **DFT formation energy**: -0.7404 eV per atom
# **Mass density**: 11185 kg/m³
# **Density of states at the Fermi level**: 4.9 states/eV/cell
data_Pm2RhAu2
_cell_length_a 3.830
_cell_length_b 4.050
_cell_length_c 15.061
_cell_angle_alpha 90.00
_cell_angle_beta 90.00
_cell_angle_gamma 90.00
_symmetry_space_group_name_H-M 'A m m 2'
_symmetry_Int_Tables_number 38
_symmetry_space_group_name_Hall 'A 2 -2'
loop_
_atom_site_label
_atom_site_type_symbol
_atom_site_fract_x
_atom_site_fract_y
_atom_site_fract_z
Pm1 Pm 0.000 0.000 0.000
Pm2 Pm 0.000 0.000 0.253
Rh1 Rh 0.500 0.000 0.457
Au1 Au 0.500 0.000 0.638
Au2 Au 0.500 0.000 0.829


(16)
# Pm2Sb4Rh3Au (PBE-GGA, relaxed)
# **Crystal system**: tetragonal
# **E_form (uncorrected)**: -0.710 eV/atom
# **Mass density**: 9572 kg/m³
# **Density of states at the Fermi level**: 4.2 states/eV/cell
data_Pm2Sb4Rh3Au
_cell_length_a 4.593
_cell_length_b 4.593
_cell_length_c 10.547
_cell_angle_alpha 90.00
_cell_angle_beta 90.00
_cell_angle_gamma 90.00
_symmetry_space_group_name_H-M 'P -4 m 2'
_symmetry_Int_Tables_number 115
_symmetry_space_group_name_Hall 'P -4 -2'
loop_
_atom_site_label
_atom_site_type_symbol
_atom_site_fract_x
_atom_site_fract_y
_atom_site_fract_z
Pm1 Pm 0.000 0.500 0.248
Sb1 Sb 0.000 0.000 0.500
Sb2 Sb 0.000 0.500 0.861
Sb3 Sb 0.500 0.500 0.500
Rh1 Rh 0.000 0.000 0.000
Rh2 Rh 0.000 0.500 0.619
Au1 Au 0.500 0.500 0.000


(17)
# Pm2Sb3Rh4Au (PBE-GGA, relaxed)
# **Crystal system**: tetragonal
# **E_form (uncorrected)**: -0.721 eV/atom
# **Mass density**: 9961 kg/m³
# **Density of states at the Fermi level**: 5.0 states/eV/cell
data_Pm2Sb3Rh4Au
_cell_length_a 4.337
_cell_length_b 4.337
_cell_length_c 11.203
_cell_angle_alpha 90.00
_cell_angle_beta 90.00
_cell_angle_gamma 90.00
_symmetry_space_group_name_H-M 'P -4 m 2'
_symmetry_Int_Tables_number 115
_symmetry_space_group_name_Hall 'P -4 -2'
loop_
_atom_site_label
_atom_site_type_symbol
_atom_site_fract_x
_atom_site_fract_y
_atom_site_fract_z
Pm1 Pm 0.000 0.500 0.237
Sb1 Sb 0.000 0.000 0.000
Sb2 Sb 0.000 0.500 0.633
Rh1 Rh 0.000 0.000 0.500
Rh2 Rh 0.000 0.500 0.857
Rh3 Rh 0.500 0.500 0.500
Au1 Au 0.500 0.500 0.000


(18)
# PmSbRhAu (PBE-GGA, relaxed)
# **Crystal system**: cubic
# **E_form (uncorrected)**: -0.543 eV/atom
# **Mass density**: 11045 kg/m³
# **Density of states at the Fermi level**: 12.9 states/eV/cell
data_PmSbRhAu
_cell_length_a 6.985
_cell_length_b 6.985
_cell_length_c 6.985
_cell_angle_alpha 90.00
_cell_angle_beta 90.00
_cell_angle_gamma 90.00
_symmetry_space_group_name_H-M 'F -4 3 m'
_symmetry_Int_Tables_number 216
_symmetry_space_group_name_Hall 'F -4 2 3'
loop_
_atom_site_label
_atom_site_type_symbol
_atom_site_fract_x
_atom_site_fract_y
_atom_site_fract_z
Pm1 Pm 0.000 0.000 0.000
Sb1 Sb 0.000 0.000 0.500
Rh1 Rh 0.250 0.250 0.750
Au1 Au 0.250 0.250 0.250


(19)
# PmScRhAu (PBE-GGA, relaxed)
# **Crystal system**: cubic
# **DFT formation energy**: -0.7176 eV per atom
# **Mass density**: 9653 kg/m³
# **Density of states at the Fermi level**: 18.2 states/eV/cell
data_PmScRhAu
_cell_length_a 6.959
_cell_length_b 6.959
_cell_length_c 6.959
_cell_angle_alpha 90.00
_cell_angle_beta 90.00
_cell_angle_gamma 90.00
_symmetry_space_group_name_H-M 'F -4 3 m'
_symmetry_Int_Tables_number 216
_symmetry_space_group_name_Hall 'F -4 2 3'
loop_
_atom_site_label
_atom_site_type_symbol
_atom_site_fract_x
_atom_site_fract_y
_atom_site_fract_z
Pm1 Pm 0.000 0.000 0.000
Sc1 Sc 0.000 0.000 0.500
Rh1 Rh 0.250 0.250 0.750
Au1 Au 0.250 0.250 0.250


(20)
# Pm6Rh2AuSe3 (PBE-GGA, relaxed)
# **Crystal system**: monoclinic
# **E_form (uncorrected)**: -1.232 eV/atom
# **Mass density**: 7852 kg/m³
# **Density of states at the Fermi level**: 15.7 states/eV/cell
data_Pm6Rh2AuSe3
_cell_length_a 7.119
_cell_length_b 12.334
_cell_length_c 7.651
_cell_angle_alpha 90.00
_cell_angle_beta 108.11
_cell_angle_gamma 90.00
_symmetry_space_group_name_H-M 'C 1 2/m 1'
_symmetry_Int_Tables_number 12
_symmetry_space_group_name_Hall '-C 2y'
loop_
_atom_site_label
_atom_site_type_symbol
_atom_site_fract_x
_atom_site_fract_y
_atom_site_fract_z
Pm1 Pm 0.225 0.000 0.232
Pm2 Pm 0.246 0.176 0.766
Rh1 Rh 0.000 0.167 0.000
Au1 Au 0.000 0.500 0.000
Se1 Se 0.000 0.000 0.500
Se2 Se 0.000 0.338 0.500